## P
This record from Alexandria describes CaNi2H8 after structural relaxation. The functional is PBE.

Geometry as POSCAR:
```
CaNi2H8
1.0
3.847 0.000 -1.390
-0.502 3.814 -1.390
-0.087 -0.099 5.778
Ca H Ni
1 8 2
Direct
0.500 0.500 0.000
0.390 0.938 0.328
0.062 0.062 0.672
0.938 0.938 0.328
0.938 0.390 0.328
0.610 0.062 0.672
0.062 0.610 0.672
0.390 0.390 0.328
0.610 0.610 0.672
0.750 0.250 0.500
0.250 0.750 0.500
```

Calculated values
V: 7.6 Å³ per atom
magnetic moment: 0.000 μB per cell

***

## Q
This record from Alexandria describes CaNi2H8 after structural relaxation. The functional is PBE.

Geometry as POSCAR:
```
CaNi2H8
1.0
-3.508 -0.888 -1.697
2.048 -3.115 -2.561
-1.535 -1.478 3.990
H Ni Ca
8 2 1
Direct
0.994 0.975 0.689
0.006 0.311 0.025
0.006 0.025 0.311
0.500 0.328 0.672
0.500 0.672 0.328
0.755 0.493 0.493
0.245 0.507 0.507
0.994 0.689 0.975
0.000 0.326 0.674
0.000 0.674 0.326
0.500 0.000 0.000
```

Calculated values
V: 6.7 Å³ per atom
magnetic moment: 0.000 μB per cell

***

Most stable to least stable, the ends of the list are Q and P.

***

## P
This record from Alexandria describes Ca4Ni2H after structural relaxation. The functional is PBE.

Geometry as POSCAR:
```
Ca4Ni2H
1.0
4.558 0.000 0.000
0.000 4.558 0.000
-2.279 -2.279 7.587
Ni Ca H
2 4 1
Direct
0.625 0.625 0.250
0.375 0.375 0.750
0.185 0.185 0.370
0.815 0.815 0.630
0.000 0.500 0.000
0.500 0.000 0.000
0.000 0.000 0.000
```

Calculated values
V: 22.5 Å³ per atom
magnetic moment: 0.000 μB per cell

***

## Q
This record from Alexandria describes Ca4Ni2H after structural relaxation. The functional is PBE.

Geometry as POSCAR:
```
Ca4Ni2H
1.0
3.752 0.000 -1.060
-0.333 5.795 -1.178
0.105 -0.043 7.544
Ca Ni H
4 2 1
Direct
0.416 0.723 0.832
0.157 0.821 0.315
0.843 0.179 0.685
0.584 0.277 0.168
0.763 0.611 0.526
0.237 0.389 0.474
0.000 0.000 0.000
```

Calculated values
V: 23.5 Å³ per atom
magnetic moment: 0.000 μB per cell

***

Most stable to least stable, the ends of the list are Q and P.

***

## P
This record from Alexandria describes CaH2O after structural relaxation. The functional is PBE.

Geometry as POSCAR:
```
CaH2O
1.0
3.145 0.000 0.000
0.000 3.145 0.000
1.573 1.573 11.198
H O Ca
4 2 2
Direct
0.375 0.125 0.250
0.375 0.625 0.750
0.375 0.625 0.250
0.875 0.625 0.750
0.500 0.500 0.000
0.250 0.750 0.500
0.000 0.000 0.000
0.750 0.250 0.500
```

Calculated values
V: 13.8 Å³ per atom
magnetic moment: 0.000 μB per cell

***

## Q
This record from Alexandria describes CaH2O after structural relaxation. The functional is PBE.

Geometry as POSCAR:
```
CaH2O
1.0
0.000 2.603 2.603
2.603 0.000 2.603
2.603 2.603 0.000
H Ca O
2 1 1
Direct
0.250 0.250 0.250
0.750 0.750 0.750
0.500 0.500 0.500
0.000 0.000 0.000
```

Calculated values
V: 8.8 Å³ per atom
magnetic moment: 0.000 μB per cell

***

Most stable to least stable, the ends of the list are P and Q.

***

## P
This record from Alexandria describes CaHO after structural relaxation. The functional is PBE.

Geometry as POSCAR:
```
CaHO
1.0
3.323 0.048 -0.287
-0.075 3.323 -0.287
0.591 0.613 7.718
O Ca H
2 2 2
Direct
0.747 0.747 0.850
0.253 0.253 0.150
0.753 0.753 0.154
0.247 0.247 0.846
0.055 0.055 0.464
0.945 0.945 0.536
```

Calculated values
V: 14.4 Å³ per atom
magnetic moment: 0.000 μB per cell

***

## Q
This record from Alexandria describes CaHO after structural relaxation. The functional is PBE.

Geometry as POSCAR:
```
CaHO
1.0
3.376 0.000 0.000
0.000 3.376 0.000
-1.688 -1.688 4.528
O Ca H
1 1 1
Direct
0.093 0.093 0.186
0.552 0.552 0.105
0.205 0.205 0.409
```

Calculated values
V: 17.2 Å³ per atom
magnetic moment: 0.000 μB per cell

***

Most stable to least stable, the ends of the list are P and Q.

***

## P
This record from Alexandria describes CaPHO4 after structural relaxation. The functional is PBE.

Geometry as POSCAR:
```
CaPHO4
1.0
-2.683 3.863 5.103
-9.317 -1.897 -3.464
3.605 -7.057 7.237
O P H Ca
32 8 8 8
Direct
0.523 0.867 0.647
0.023 0.633 0.853
0.772 0.622 0.600
0.944 0.934 0.117
0.182 0.387 0.781
0.052 0.088 0.409
0.977 0.367 0.147
0.056 0.066 0.883
0.424 0.091 0.866
0.221 0.638 0.593
0.682 0.113 0.719
0.832 0.428 0.874
0.576 0.909 0.134
0.948 0.912 0.591
0.924 0.409 0.634
0.076 0.591 0.366
0.279 0.138 0.093
0.448 0.588 0.909
0.818 0.613 0.219
0.477 0.133 0.353
0.668 0.928 0.374
0.552 0.412 0.091
0.168 0.572 0.126
0.228 0.378 0.400
0.444 0.566 0.383
0.318 0.887 0.281
0.721 0.862 0.907
0.556 0.434 0.617
0.728 0.122 0.100
0.332 0.072 0.626
0.272 0.878 0.900
0.779 0.362 0.407
0.750 0.955 0.060
0.250 0.545 0.440
0.250 0.045 0.940
0.510 0.968 0.298
0.750 0.455 0.560
0.010 0.532 0.202
0.990 0.468 0.798
0.490 0.032 0.702
0.074 0.953 0.584
0.359 0.502 0.862
0.926 0.047 0.416
0.859 0.998 0.638
0.141 0.002 0.362
0.426 0.453 0.084
0.574 0.547 0.916
0.641 0.498 0.138
0.304 0.262 0.562
0.989 0.796 0.752
0.511 0.296 0.252
0.489 0.704 0.748
0.696 0.738 0.438
0.804 0.238 0.938
0.196 0.762 0.062
0.011 0.204 0.248
```

Calculated values
V: 12.2 Å³ per atom
magnetic moment: 0.000 μB per cell

***

## Q
This record from Alexandria describes CaPHO4 after structural relaxation. The functional is PBE.

Geometry as POSCAR:
```
CaPHO4
1.0
6.979 -0.002 0.004
0.212 6.719 0.001
1.749 0.767 6.835
Ca O H P
4 16 4 4
Direct
0.158 0.838 0.328
0.301 0.442 0.725
0.708 0.555 0.270
0.811 0.163 0.666
0.039 0.523 0.257
0.661 0.154 0.022
0.349 0.492 0.372
0.331 0.830 0.984
0.673 0.659 0.939
0.453 0.121 0.716
0.656 0.510 0.627
0.536 0.892 0.310
0.325 0.337 0.065
0.864 0.822 0.603
0.719 0.207 0.352
0.137 0.178 0.403
0.964 0.476 0.749
0.314 0.806 0.636
0.895 0.920 0.167
0.091 0.053 0.839
0.538 0.732 0.950
0.006 0.994 0.979
0.457 0.258 0.054
0.468 0.877 0.460
0.796 0.620 0.721
0.305 0.951 0.794
0.708 0.056 0.211
0.207 0.379 0.284
```

Calculated values
V: 11.4 Å³ per atom
magnetic moment: 0.032 μB per cell

***

Most stable to least stable, the ends of the list are Q and P.

***

## P
This record from Alexandria describes CaP2HO after structural relaxation. The functional is PBE.

Geometry as POSCAR:
```
CaP2HO
1.0
5.503 0.000 0.000
0.000 5.503 0.000
0.000 0.000 4.369
P O H Ca
2 1 1 1
Direct
0.500 0.000 0.000
0.000 0.500 0.000
0.000 0.000 0.500
0.500 0.500 0.500
0.000 0.000 0.000
```

Calculated values
V: 26.5 Å³ per atom
magnetic moment: 0.377 μB per cell

***

## Q
This record from Alexandria describes CaP2HO after structural relaxation. The functional is PBE.

Geometry as POSCAR:
```
CaP2HO
1.0
3.437 0.000 0.000
0.000 3.437 0.000
0.000 0.000 6.098
Ca P H O
1 2 1 1
Direct
0.500 0.500 0.500
0.500 0.000 0.000
0.000 0.500 0.000
0.000 0.000 0.000
0.000 0.000 0.500
```

Calculated values
V: 14.4 Å³ per atom
magnetic moment: 0.000 μB per cell

***

Most stable to least stable, the ends of the list are Q and P.